SmGa3Au2 | PBE | relaxed

Calculated values
Fermi-level density of states = 7.9 states/eV/cell
Formation energy from the elements = -0.52 eV/atom
V = 20.1 Å³/atom
Calculated total energy = -3.913 eV/atom

a b c (Å): 16.639 4.433 7.099
angles (deg): 90.00 113.09 90.00
Space group C2/m (No. 12)
Asymmetric unit:
Sm (0.127, 0.000, 0.162) x4
Ga (0.054, 0.000, 0.678) x4
Ga (0.163, 0.500, 0.484) x4
Ga (0.177, 0.500, 0.892) x4
Au (0.003, 0.500, 0.802) x4
Au (0.220, 0.000, 0.708) x4